Computed, not measured: a relaxed structure of PrPb2BrO4 at the GGA-PBE level of DFT.

The density is 7509 kg/m3. The formation energy (no corrections) comes out at -1.598 eV per atom.

The structure belongs to space group P4/mmm (No. 123); the cell edges are 4.075, 4.075 and 9.309 Å and the angles 90.00°, 90.00° and 90.00°. Symmetry generates all atoms from Pr at (0.000, 0.000, 0.000), Pb at (0.500, 0.500, 0.268), Br at (0.000, 0.000, 0.500) and O at (0.000, 0.500, 0.153).